## PrH2I2 (PBE)

Data for a relaxed structure of PrH2I2.

a = 8.724 Å, b = 7.211 Å, c = 8.720 Å
α = 81.15°, β = 75.27°, γ = 52.78°
Fractional coordinates of all 10 atoms:
1 I 0.942 0.493 0.252
2 I 0.565 0.493 0.748
3 H 0.114 0.000 0.935
4 Pr 0.174 0.652 0.000
5 H 0.083 0.000 0.062
6 I 0.435 0.507 0.252
7 H 0.917 0.000 0.938
8 H 0.886 0.000 0.065
9 I 0.058 0.507 0.748
10 Pr 0.826 0.348 0.000

Computed properties:
- space group = C2/m, No. 12
- total energy (eV for the cell shown) = -36.3
- magnetic moment (μB per cell) = 0.0
- crystal system = monoclinic